1.
Tl2SnOF2 | PBE-GGA | relaxed

D(E_F) in states/eV per cell: 0.0
Total energy in eV/atom: -4.48
Space group: Cmc2_1, No. 36
Formation energy without anion corrections in meV/atom: -1570

Lattice parameters (Å, degrees): 5.635 6.161 8.377 111.58 90.00 90.00
Fractional positions:
1 Tl 0.236 0.885 0.301
2 Sn 0.230 0.206 0.000
3 F 0.199 0.304 0.298
4 Tl 0.736 0.115 0.699
5 F 0.699 0.696 0.702
6 O 0.873 0.109 0.000
7 O 0.373 0.891 0.000
8 F 0.199 0.006 0.702
9 Tl 0.736 0.416 0.301
10 Tl 0.236 0.584 0.699
11 Sn 0.730 0.794 0.000
12 F 0.699 0.994 0.298

2.
CsGe4Pt5 | PBE-GGA | relaxed

D(E_F) in states/eV per cell: 1.6
Total energy in eV/atom: -5.32
Space group: Pmmn, No. 59

Lattice parameters (Å, degrees): 4.524 11.796 7.622 90.00 90.00 90.00
Fractional positions:
1 Pt 0.256 0.191 0.693
2 Pt 0.744 0.309 0.193
3 Pt 0.744 0.691 0.193
4 Ge 0.768 0.786 0.500
5 Pt 0.256 0.809 0.307
6 Pt 0.037 0.500 0.000
7 Pt 0.963 0.000 0.500
8 Ge 0.232 0.714 0.000
9 Pt 0.744 0.309 0.807
10 Cs 0.080 0.500 0.500
11 Pt 0.744 0.691 0.807
12 Ge 0.768 0.214 0.500
13 Ge 0.534 0.500 0.826
14 Ge 0.232 0.286 0.000
15 Cs 0.920 0.000 0.000
16 Ge 0.466 0.000 0.326
17 Pt 0.256 0.191 0.307
18 Pt 0.256 0.809 0.693
19 Ge 0.466 0.000 0.674
20 Ge 0.534 0.500 0.174